Record 1
Here is a relaxed Ta2NiRu crystal from Alexandria. Energies are from GGA-PBE.

## Properties
As for the energy of formation: -0.232 eV per atom. The total energy is -0.3646 hartree per atom. As for the space-group type: P4mm. For the density of states at the Fermi level, the calculation gives 0.700 states/eV per atom.

Cell: 3.223 3.223 5.935 Å, 90.00 90.00 90.00°
Element x y z (fractional)
1 Ta 0.000 0.000 0.979
2 Ta 0.500 0.500 0.288
3 Ru 0.500 0.500 0.746
4 Ni 0.000 0.000 0.487

Record 2
Here is a relaxed TbTaNiRu crystal from Alexandria. Energies are from GGA-PBE.

## Properties
As for the energy of formation: -0.150 eV per atom. The total energy is -0.2953 hartree per atom. As for the space-group type: F-43m. For the density of states at the Fermi level, the calculation gives 0.810 states/eV per atom.

Cell: 4.607 4.607 4.607 Å, 60.00 60.00 60.00°
Element x y z (fractional)
1 Tb 0.000 0.000 0.000
2 Ta 0.500 0.500 0.500
3 Ni 0.250 0.250 0.250
4 Ru 0.750 0.750 0.750

Record 3
Here is a relaxed TaTiNiRu crystal from Alexandria. Energies are from GGA-PBE.

## Properties
As for the energy of formation: -0.362 eV per atom. The total energy is -0.3331 hartree per atom. As for the space-group type: F-43m. For the density of states at the Fermi level, the calculation gives 0.824 states/eV per atom.

Cell: 4.383 4.383 4.383 Å, 60.00 60.00 60.00°
Element x y z (fractional)
1 Ni 0.000 0.000 0.000
2 Ru 0.500 0.500 0.500
3 Ta 0.750 0.750 0.750
4 Ti 0.250 0.250 0.250

Record 4
Here is a relaxed TaVNiRu crystal from Alexandria. Energies are from GGA-PBE.

## Properties
As for the energy of formation: -0.124 eV per atom. The total energy is -0.3356 hartree per atom. As for the space-group type: F-43m. For the density of states at the Fermi level, the calculation gives 1.199 states/eV per atom.

Cell: 4.330 4.330 4.330 Å, 60.00 60.00 60.00°
Each line ends with the local moment (μB).
Element x y z (fractional)
1 Ta 0.500 0.500 0.500  0.01
2 Ru 0.250 0.250 0.250  -0.06
3 Ni 0.750 0.750 0.750  0.12
4 V 0.000 0.000 0.000  0.81

Record 5
Here is a relaxed TaNiRu2W crystal from Alexandria. Energies are from GGA-PBE.

## Properties
As for the energy of formation: 1.807 eV per atom. The total energy is -0.2948 hartree per atom. As for the space-group type: P4/mmm. For the density of states at the Fermi level, the calculation gives 1.062 states/eV per atom.

Cell: 4.625 4.861 4.625 Å, 90.00 90.00 90.00°
Each line ends with the local moment (μB).
Element x y z (fractional)
1 Ta 0.000 0.500 0.000  -0.09
2 W 0.000 0.000 0.000  -0.01
3 Ni 0.500 0.500 0.500  0.49
4 Ru 0.500 0.000 0.000  0.25
5 Ru 0.000 0.000 0.500  0.25

Record 6
Here is a relaxed YTaNiRu crystal from Alexandria. Energies are from GGA-PBE.

## Properties
As for the energy of formation: -0.154 eV per atom. The total energy is -0.3123 hartree per atom. As for the space-group type: F-43m. For the density of states at the Fermi level, the calculation gives 0.905 states/eV per atom.

Cell: 4.605 4.605 4.605 Å, 60.00 60.00 60.00°
Element x y z (fractional)
1 Ru 0.750 0.750 0.750
2 Y 0.500 0.500 0.500
3 Ta 0.000 0.000 0.000
4 Ni 0.250 0.250 0.250

Record 7
Here is a relaxed TaZnNiRu crystal from Alexandria. Energies are from GGA-PBE.

## Properties
As for the energy of formation: -0.249 eV per atom. The total energy is -0.2681 hartree per atom. Its energy relative to the lowest polymorph listed for this composition is 30 meV/atom. As for the space-group type: F-43m. For the density of states at the Fermi level, the calculation gives 1.019 states/eV per atom.

Cell: 4.319 4.319 4.319 Å, 60.00 60.00 60.00°
Element x y z (fractional)
1 Ta 0.500 0.500 0.500
2 Zn 0.000 0.000 0.000
3 Ru 0.750 0.750 0.750
4 Ni 0.250 0.250 0.250

Record 8
Here is a relaxed TaZnNiRu crystal from Alexandria. Energies are from GGA-PBE.

## Properties
As for the energy of formation: -0.279 eV per atom. The total energy is -0.2692 hartree per atom. Its energy relative to the lowest polymorph listed for this composition is 0 meV/atom. As for the space-group type: I-4m2. For the density of states at the Fermi level, the calculation gives 0.372 states/eV per atom.

Cell: 4.054 4.054 4.484 Å, 116.88 116.87 90.00°
Element x y z (fractional)
1 Ni 0.500 0.500 0.000
2 Ru 0.000 0.000 0.000
3 Zn 0.250 0.750 0.500
4 Ta 0.750 0.250 0.500

Record 9
Here is a relaxed ZrTaNiRu crystal from Alexandria. Energies are from GGA-PBE.

## Properties
As for the energy of formation: -0.300 eV per atom. The total energy is -0.3368 hartree per atom. As for the space-group type: F-43m. For the density of states at the Fermi level, the calculation gives 0.902 states/eV per atom.

Cell: 4.519 4.519 4.519 Å, 60.00 60.00 60.00°
Element x y z (fractional)
1 Ru 0.750 0.750 0.750
2 Ta 0.000 0.000 0.000
3 Zr 0.500 0.500 0.500
4 Ni 0.250 0.250 0.250

Record 10
Here is a relaxed ZrTaNiRu2 crystal from Alexandria. Energies are from GGA-PBE.

## Properties
As for the energy of formation: 1.466 eV per atom. The total energy is -0.2749 hartree per atom. As for the space-group type: P4/mmm. For the density of states at the Fermi level, the calculation gives 1.239 states/eV per atom.

Cell: 4.639 5.109 4.639 Å, 90.00 90.00 90.00°
Each line ends with the local moment (μB).
Element x y z (fractional)
1 Ta 0.000 0.000 0.000  -0.03
2 Ru 0.000 0.000 0.500  0.38
3 Ru 0.500 0.000 0.000  0.37
4 Ni 0.500 0.500 0.500  0.59
5 Zr 0.000 0.500 0.000  -0.09

Record 11
Here is a relaxed Tb6NiRu5 crystal from Alexandria. Energies are from GGA-PBE.

## Properties
As for the energy of formation: -0.321 eV per atom. The total energy is -0.2566 hartree per atom. As for the space-group type: Cmmm. For the density of states at the Fermi level, the calculation gives 0.864 states/eV per atom.

Cell: 4.832 6.833 7.619 Å, 90.00 71.49 90.00°
Element x y z (fractional)
1 Ru 0.334 0.500 0.332
2 Ru 0.666 0.500 0.668
3 Ru 0.000 0.500 0.000
4 Ru 0.666 0.000 0.669
5 Ru 0.334 0.000 0.331
6 Tb 0.500 0.749 0.000
7 Tb 0.167 0.251 0.665
8 Tb 0.167 0.749 0.665
9 Tb 0.833 0.251 0.335
10 Tb 0.500 0.251 0.000
11 Tb 0.833 0.749 0.335
12 Ni 0.000 0.000 0.000

Record 12
Here is a relaxed TbNiRu crystal from Alexandria. Energies are from GGA-PBE.

## Properties
As for the energy of formation: -0.336 eV per atom. The total energy is -0.2535 hartree per atom. Its energy relative to the lowest polymorph listed for this composition is 38 meV/atom. As for the space-group type: R-3m. For the density of states at the Fermi level, the calculation gives 1.308 states/eV per atom.

Cell: 5.199 5.199 13.348 Å, 78.77 78.77 60.00°
Element x y z (fractional)
1 Tb 0.958 0.958 0.127
2 Tb 0.262 0.262 0.213
3 Tb 0.820 0.820 0.540
4 Tb 0.042 0.042 0.873
5 Tb 0.180 0.180 0.460
6 Tb 0.738 0.738 0.787
7 Ru 0.500 0.000 0.000
8 Ru 0.000 0.500 0.000
9 Ru 0.391 0.391 0.826
10 Ru 0.500 0.500 0.000
11 Ru 0.500 0.500 0.500
12 Ru 0.609 0.609 0.174
13 Ni 0.721 0.221 0.338
14 Ni 0.221 0.721 0.338
15 Ni 0.779 0.279 0.662
16 Ni 0.279 0.779 0.662
17 Ni 0.721 0.721 0.338
18 Ni 0.279 0.279 0.662